A plane-wave DFT calculation with PBE with a Hubbard U was carried out for LiCa3Fe5Sn3O16 after structural relaxation.

Unit cell a=3.108 b=9.292 c=11.046 alpha=90.35 beta=90.00 gamma=90.00
Sites, in units of the cell vectors:
Li 0.500 0.762 0.634
Ca 0.000 0.741 0.150
Ca 0.500 0.263 0.853
Ca 0.000 0.247 0.336
Fe 0.000 0.574 0.901
Fe 0.000 0.564 0.383
Fe 0.500 0.417 0.107
Fe 0.000 0.079 0.609
Fe 0.000 0.072 0.114
Sn 0.500 0.926 0.887
Sn 0.500 0.911 0.400
Sn 0.500 0.447 0.614
O 0.000 0.983 0.294
O 0.500 0.922 0.074
O 0.000 0.876 0.530
O 0.000 0.782 0.846
O 0.500 0.713 0.321
O 0.500 0.616 0.015
O 0.000 0.591 0.577
O 0.500 0.516 0.795
O 0.000 0.478 0.211
O 0.500 0.411 0.430
O 0.000 0.384 0.974
O 0.000 0.294 0.668
O 0.500 0.211 0.165
O 0.500 0.118 0.485
O 0.000 0.082 0.913
O 0.500 0.019 0.713

Results
Its space-group type is Pm (6). The density comes out at 5.30 g cm⁻³. The final energy is -174.8 eV per cell.